(1)
First-principles (PBE-GGA) data for crystalline MnZnAg2 at its relaxed geometry, as listed in Alexandria.

Cell: 4.744 4.744 4.744 Å, 127.47 127.47 77.49°
Each line ends with the local moment (μB).
Atoms (fractional coordinates):
1 Ag 0.000 0.000 0.000  0.02
2 Ag 0.500 0.500 0.000  0.02
3 Mn 0.250 0.750 0.500  3.87
4 Zn 0.750 0.250 0.500  -0.04

Calculated values
Its energy of formation is 0.13 eV per atom. Its symmetry is I4/mmm, No. 139.

=====

(2)
First-principles (PBE-GGA) data for crystalline PmErTh2 at its relaxed geometry, as listed in Alexandria.

Cell: 5.137 5.016 5.016 Å, 90.00 90.00 90.00°
Atoms (fractional coordinates):
1 Pm 0.500 0.500 0.500
2 Th 0.000 0.000 0.500
3 Th 0.000 0.500 0.000
4 Er 0.500 0.000 0.000

Calculated values
Its energy of formation is 0.06 eV per atom. Its symmetry is P4/mmm, No. 123. As for the excess energy over the best structure of this formula in the dataset: 0.031 eV/atom.

=====

(3)
First-principles (PBE-GGA) data for crystalline Sm4ZnAg2 at its relaxed geometry, as listed in Alexandria.

Cell: 5.111 6.336 6.336 Å, 108.38 90.00 90.00°
Atoms (fractional coordinates):
1 Sm 0.000 0.756 0.756
2 Sm 0.000 0.244 0.244
3 Sm 0.500 0.000 0.500
4 Sm 0.500 0.500 0.000
5 Zn 0.500 0.500 0.500
6 Ag 0.000 0.743 0.257
7 Ag 0.000 0.257 0.743

Calculated values
Its energy of formation is -0.14 eV per atom. Its symmetry is Cmmm, No. 65.

=====

(4)
First-principles (PBE-GGA) data for crystalline NaCaGdSn at its relaxed geometry, as listed in Alexandria.

Cell: 5.458 5.458 5.458 Å, 60.00 60.00 60.00°
Each line ends with the local moment (μB).
Atoms (fractional coordinates):
1 Na 0.750 0.750 0.750  0.00
2 Ca 0.500 0.500 0.500  0.03
3 Gd 0.000 0.000 0.000  7.10
4 Sn 0.250 0.250 0.250  -0.06

Calculated values
Its energy of formation is -0.32 eV per atom. Its symmetry is F-43m, No. 216.

=====

(5)
First-principles (PBE-GGA) data for crystalline Nd2GdN at its relaxed geometry, as listed in Alexandria.

Cell: 3.586 3.586 9.947 Å, 79.62 79.62 60.00°
Each line ends with the local moment (μB).
Atoms (fractional coordinates):
1 Gd 0.000 0.000 0.000  7.28
2 Nd 0.119 0.119 0.643  -0.02
3 Nd 0.881 0.881 0.357  -0.02
4 N 0.500 0.500 0.500  0.01

Calculated values
Its symmetry is R-3m, No. 166. For the raw formation energy, the calculation gives -53 kJ/mol of atoms. As for the excess energy over the best structure of this formula in the dataset: 0.000 eV/atom.

=====

(6)
First-principles (PBE-GGA) data for crystalline NpAl2PbO8 at its relaxed geometry, as listed in Alexandria.

Cell: 4.692 4.694 6.391 Å, 90.00 90.00 90.98°
Each line ends with the local moment (μB).
Atoms (fractional coordinates):
1 Np 0.000 0.000 0.000  1.23
2 Al 0.500 0.500 0.742  0.00
3 Al 0.500 0.500 0.258  0.00
4 Pb 0.000 0.000 0.500  0.00
5 O 0.218 0.783 0.236  -0.03
6 O 0.689 0.689 0.000  -0.04
7 O 0.782 0.217 0.236  -0.03
8 O 0.782 0.217 0.764  -0.03
9 O 0.311 0.311 0.000  -0.04
10 O 0.218 0.783 0.764  -0.03
11 O 0.679 0.678 0.500  -0.01
12 O 0.321 0.322 0.500  -0.01

Calculated values
Its symmetry is Cmmm, No. 65. For the raw formation energy, the calculation gives -217 kJ/mol of atoms.

=====

- Number 6 is which compound?
  NpAl2PbO8